A plane-wave DFT calculation with SCAN was carried out for a PBEsol-optimized structure of KScCu2.

abc: 4.8297 4.8297 4.8297
angles: 120.06 119.90 90.03
Fractional coordinates of all 4 atoms:
K 0.0000 0.0000 0.0000
Sc 0.5000 0.5000 0.0000
Cu 0.2509 0.7509 0.5000
Cu 0.7491 0.2491 0.5000

Values from the calculation:
total DFT energy (no corrections): -50.837 eV per cell
total magnetic moment: 0.00 μB per formula unit
crystal system: orthorhombic
formation energy: 0.53 eV per atom
Fermi-level density of states: 3.0 states/eV/f.u.
polymorph energy (0 for the lowest one): 0.446 eV per atom
calculated density: 4.400 g/cm³